Model w:
A relaxed structure of BeIrCl2. Source: Alexandria via LeMat-Bulk, functional PBE.

a b c (Å): 5.135 5.135 5.135
angles (deg): 147.40 104.33 84.84
Atoms (fractional coordinates):
Be 0.250 0.750 0.500
Cl 0.453 0.453 0.000
Cl 0.047 0.047 0.000
Ir 0.750 0.250 0.500

Results
space-group type = No. 71
V = 68.8 Å³/cell



Model x:
A relaxed structure of BeIrCl2. Source: Alexandria via LeMat-Bulk, functional PBE.

a b c (Å): 4.218 4.786 4.213
angles (deg): 64.11 89.54 115.93
Atoms (fractional coordinates):
Cl 0.500 0.000 0.500
Cl 0.000 0.000 0.000
Ir 0.000 0.500 0.500
Be 0.500 0.500 0.000

Results
space-group type = No. 69
V = 66.7 Å³/cell



It is model w that is the most stable of them.



Model w:
A relaxed structure of BeIrCl2. Source: Alexandria via LeMat-Bulk, functional PBE.

a b c (Å): 8.457 8.457 3.500
angles (deg): 103.10 103.10 20.43
Atoms (fractional coordinates):
Cl 0.610 0.610 0.598
Cl 0.890 0.890 0.902
Be 0.250 0.250 0.250
Ir 0.750 0.750 0.750

Results
space-group type = No. 12
V = 85.0 Å³/cell



Model x:
A relaxed structure of BeIrCl2. Source: Alexandria via LeMat-Bulk, functional PBE.

a b c (Å): 4.031 3.252 4.904
angles (deg): 94.47 90.00 90.00
Atoms (fractional coordinates):
Cl 0.000 0.484 0.500
Cl 0.000 0.016 0.000
Be 0.500 0.750 0.750
Ir 0.500 0.250 0.250

Results
space-group type = No. 10
V = 64.1 Å³/cell



Model y:
A relaxed structure of BeIrCl2. Source: Alexandria via LeMat-Bulk, functional PBE.

a b c (Å): 3.216 3.216 9.180
angles (deg): 90.00 90.00 126.42
Atoms (fractional coordinates):
Cl 0.500 0.500 0.327
Cl 0.000 0.000 0.898
Be 0.500 0.500 0.745
Ir 0.000 0.000 0.531

Results
space-group type = No. 35
V = 76.4 Å³/cell



It is model w that is the most stable of them.



Model w:
A relaxed structure of BeIrCl2. Source: Alexandria via LeMat-Bulk, functional PBE.

a b c (Å): 6.233 6.233 6.233
angles (deg): 148.31 148.31 45.43
Atoms (fractional coordinates):
Cl 0.250 0.750 0.500
Cl 0.000 0.000 0.000
Ir 0.500 0.500 0.000
Be 0.750 0.250 0.500

Results
space-group type = No. 119
V = 66.6 Å³/cell



Model x:
A relaxed structure of BeIrCl2. Source: Alexandria via LeMat-Bulk, functional PBE.

a b c (Å): 4.412 4.412 4.412
angles (deg): 60.00 60.00 60.00
Atoms (fractional coordinates):
Cl 0.750 0.750 0.750
Cl 0.250 0.250 0.250
Be 0.000 0.000 0.000
Ir 0.500 0.500 0.500

Results
space-group type = No. 225
V = 60.7 Å³/cell



Model y:
A relaxed structure of BeIrCl2. Source: Alexandria via LeMat-Bulk, functional PBE.

a b c (Å): 11.980 11.980 11.980
angles (deg): 14.14 14.14 14.14
Atoms (fractional coordinates):
Cl 0.454 0.454 0.454
Cl 0.046 0.046 0.046
Be 0.750 0.750 0.750
Ir 0.250 0.250 0.250

Results
space-group type = No. 166
V = 89.3 Å³/cell



It is model y that is the most stable of them.



Model w:
A relaxed structure of BeIrCl2. Source: Alexandria via LeMat-Bulk, functional PBE.

a b c (Å): 4.453 4.453 4.453
angles (deg): 60.00 60.00 60.00
Atoms (fractional coordinates):
Ir 0.250 0.250 0.250
Be 0.500 0.500 0.500
Cl 0.000 0.000 0.000
Cl 0.750 0.750 0.750

Results
space-group type = No. 216
V = 62.4 Å³/cell



Model x:
A relaxed structure of BeIrCl2. Source: Alexandria via LeMat-Bulk, functional PBE.

a b c (Å): 4.432 4.432 3.071
angles (deg): 90.00 90.00 90.31
Atoms (fractional coordinates):
Be 0.000 0.500 0.500
Ir 0.500 0.000 0.500
Cl 0.500 0.500 0.000
Cl 0.000 0.000 0.000

Results
space-group type = No. 65
V = 60.3 Å³/cell



It is model x that is the most stable of them.